Entry 1:
Density functional theory data (PBE-GGA) for crystalline Tb3HoTh at its relaxed geometry.

abc: 3.4107 8.6680 8.6680
angles: 43.38 90.00 90.00
With the nearest neighbours (Å) after each atom.
Sites, in units of the cell vectors:
Tb 0.0000 0.0000 0.0000  2 Ho 3.28, 6 Tb 3.41-3.45
Tb 0.5000 0.0787 0.6007  4 Tb 3.06-3.41, 1 Ho 3.15
Tb 0.5000 0.6007 0.0787  4 Tb 3.06-3.41, 1 Ho 3.15
Ho 0.5000 0.1740 0.1740  4 Tb 3.15-3.28, 2 Ho 3.41
Th 0.0000 0.6510 0.6510  2 Th 3.41, 4 Ho 3.65, 4 Tb 3.81

Summary:
E (eV/atom): -4.76
Crystal system: orthorhombic
Energy of formation (kcal/mol of atoms): 9.7
Polymorph energy (0 for the lowest one) (eV per formula unit): 1.90
DOS at the Fermi energy (states/eV/f.u.): 8.115
ρ (g/cm3): 8.24

Entry 2:
Density functional theory data (PBE-GGA) for crystalline Tb4Ho8Th3 at its relaxed geometry.

abc: 9.2390 9.2390 6.7072
angles: 111.05 111.05 88.27
With the nearest neighbours (Å) after each atom.
Sites, in units of the cell vectors:
Tb 0.0000 0.0000 0.0000  6 Ho 3.14-3.23
Tb 0.0000 0.5000 0.0000  4 Ho 3.22-3.32, 2 Th 3.35
Tb 0.5000 0.0000 0.0000  4 Ho 3.22-3.32, 2 Th 3.35
Tb 0.5000 0.5000 0.5000  2 Th 3.35, 4 Ho 3.47-3.55
Ho 0.1425 0.8575 0.5000  7 Ho 3.59-3.69, 2 Th 3.59, 4 Tb 3.61-3.82
Ho 0.2330 0.2330 0.5013  2 Ho 3.20-3.51, 3 Th 3.22-3.45, 2 Tb 3.23-3.55
Ho 0.2378 0.2378 0.9834  2 Ho 3.20-3.51, 4 Tb 3.21-3.47, 1 Th 3.42
Ho 0.2444 0.7556 0.0000  3 Tb 3.14-3.32, 3 Th 3.29-3.33
Ho 0.7556 0.2444 0.0000  3 Tb 3.14-3.32, 3 Th 3.29-3.33
Ho 0.7622 0.7622 0.0166  2 Ho 3.20-3.51, 4 Tb 3.21-3.47, 1 Th 3.42
Ho 0.7670 0.7670 0.4987  2 Ho 3.20-3.51, 3 Th 3.22-3.45, 2 Tb 3.23-3.55
Ho 0.8575 0.1425 0.5000  7 Ho 3.59-3.69, 2 Th 3.59, 4 Tb 3.61-3.82
Th 0.0000 0.5000 0.5000  6 Ho 3.22-3.59, 2 Tb 3.35
Th 0.5000 0.0000 0.5000  6 Ho 3.22-3.59, 2 Tb 3.35
Th 0.5000 0.5000 0.0000  6 Ho 3.29-3.45, 2 Tb 3.35

Summary:
E (eV/atom): -4.73
Crystal system: monoclinic
Energy of formation (kcal/mol of atoms): 9.9
DOS at the Fermi energy (states/eV/f.u.): 28.769
ρ (g/cm3): 8.89

Entry 3:
Density functional theory data (PBE-GGA) for crystalline Tb8HoTh6 at its relaxed geometry.

abc: 8.7576 8.7576 8.7576
angles: 60.81 60.81 60.81
With the nearest neighbours (Å) after each atom.
Sites, in units of the cell vectors:
Tb 0.0809 0.0809 0.0809  4 Tb 3.37-3.45, 6 Th 3.42-3.77
Tb 0.1747 0.6210 0.3040  5 Tb 3.37-3.53, 3 Th 3.43-3.56, 1 Ho 3.50
Tb 0.3040 0.1747 0.6210  5 Tb 3.37-3.53, 3 Th 3.43-3.56, 1 Ho 3.50
Tb 0.3790 0.6960 0.8253  5 Tb 3.37-3.53, 3 Th 3.43-3.56, 1 Ho 3.50
Tb 0.6210 0.3040 0.1747  5 Tb 3.37-3.53, 3 Th 3.43-3.56, 1 Ho 3.50
Tb 0.6960 0.8253 0.3790  5 Tb 3.37-3.53, 3 Th 3.43-3.56, 1 Ho 3.50
Tb 0.8253 0.3790 0.6960  5 Tb 3.37-3.53, 3 Th 3.43-3.56, 1 Ho 3.50
Tb 0.9191 0.9191 0.9191  4 Tb 3.37-3.45, 6 Th 3.42-3.77
Ho 0.5000 0.5000 0.5000  6 Th 3.47, 6 Tb 3.50
Th 0.0348 0.5736 0.7641  5 Tb 3.42-3.77, 1 Ho 3.47, 5 Th 3.50-3.81
Th 0.2359 0.9652 0.4264  5 Tb 3.42-3.77, 1 Ho 3.47, 5 Th 3.50-3.81
Th 0.4264 0.2359 0.9652  5 Tb 3.42-3.77, 1 Ho 3.47, 5 Th 3.50-3.81
Th 0.5736 0.7641 0.0348  5 Tb 3.42-3.77, 1 Ho 3.47, 5 Th 3.50-3.81
Th 0.7641 0.0348 0.5736  5 Tb 3.42-3.77, 1 Ho 3.47, 5 Th 3.50-3.81
Th 0.9652 0.4264 0.2359  5 Tb 3.42-3.77, 1 Ho 3.47, 5 Th 3.50-3.81

Summary:
E (eV/atom): -5.59
Crystal system: trigonal
Energy of formation (kcal/mol of atoms): 3.6
DOS at the Fermi energy (states/eV/f.u.): 27.235
ρ (g/cm3): 9.71

Entry 4:
Density functional theory data (PBE-GGA) for crystalline Tb2Ho4Th at its relaxed geometry.

abc: 20.8716 20.8716 20.8716
angles: 9.71 9.71 9.71
With the nearest neighbours (Å) after each atom.
Sites, in units of the cell vectors:
Tb 0.2347 0.2347 0.2347  4 Ho 3.38-3.46, 6 Tb 3.53
Tb 0.7653 0.7653 0.7653  4 Ho 3.38-3.46, 6 Tb 3.53
Ho 0.1435 0.1435 0.1435  3 Tb 3.46, 9 Ho 3.53
Ho 0.2889 0.2889 0.2889  1 Tb 3.38, 3 Th 3.44, 6 Ho 3.53
Ho 0.7111 0.7111 0.7111  1 Tb 3.38, 3 Th 3.44, 6 Ho 3.53
Ho 0.8565 0.8565 0.8565  3 Tb 3.46, 9 Ho 3.53
Th 0.0000 0.0000 0.0000  6 Ho 3.44, 6 Th 3.53

Summary:
E (eV/atom): -4.91
Crystal system: trigonal
Energy of formation (kcal/mol of atoms): 1.9
Polymorph energy (0 for the lowest one) (eV per formula unit): 0.45
DOS at the Fermi energy (states/eV/f.u.): 10.527
ρ (g/cm3): 8.94

Entry 5:
Density functional theory data (PBE-GGA) for crystalline TbHo3Th at its relaxed geometry.

abc: 3.5411 11.6129 8.4952
angles: 90.00 102.02 90.00
With the nearest neighbours (Å) after each atom.
Sites, in units of the cell vectors:
Tb 0.1752 0.2500 0.3467  6 Ho 3.26-3.42, 2 Th 3.31-3.32, 2 Tb 3.54
Tb 0.8248 0.7500 0.6533  6 Ho 3.26-3.42, 2 Th 3.31-3.32, 2 Tb 3.54
Ho 0.1605 0.7500 0.3243  2 Tb 3.26, 2 Th 3.28-3.29, 6 Ho 3.39-3.54
Ho 0.3461 0.0006 0.6933  6 Ho 3.39-3.67, 2 Tb 3.42
Ho 0.3461 0.4994 0.6933  6 Ho 3.39-3.67, 2 Tb 3.42
Ho 0.6539 0.5006 0.3067  6 Ho 3.39-3.67, 2 Tb 3.42
Ho 0.6539 0.9994 0.3067  6 Ho 3.39-3.67, 2 Tb 3.42
Ho 0.8395 0.2500 0.6757  2 Tb 3.26, 2 Th 3.28-3.29, 6 Ho 3.39-3.54
Th 0.4911 0.7500 0.9913  2 Ho 3.28-3.29, 2 Tb 3.31-3.32, 2 Th 3.54
Th 0.5089 0.2500 0.0087  2 Ho 3.28-3.29, 2 Tb 3.31-3.32, 2 Th 3.54

Summary:
E (eV/atom): -4.81
Crystal system: monoclinic
Energy of formation (kcal/mol of atoms): 7.9
Polymorph energy (0 for the lowest one) (eV per formula unit): 1.58
DOS at the Fermi energy (states/eV/f.u.): 6.657
ρ (g/cm3): 8.61

Entry 6:
Density functional theory data (PBE-GGA) for crystalline TbHo2Th at its relaxed geometry.

abc: 5.0238 5.0238 4.9879
angles: 90.00 90.00 90.00
With the nearest neighbours (Å) after each atom.
Sites, in units of the cell vectors:
Tb 0.0000 0.0000 0.0000  8 Ho 3.54, 4 Th 3.55
Ho 0.0000 0.5000 0.5000  4 Tb 3.54, 4 Th 3.54, 4 Ho 3.55
Ho 0.5000 0.0000 0.5000  4 Tb 3.54, 4 Th 3.54, 4 Ho 3.55
Th 0.5000 0.5000 0.0000  8 Ho 3.54, 4 Tb 3.55

Summary:
E (eV/atom): -5.26
Crystal system: tetragonal
Energy of formation (kcal/mol of atoms): 0.9
Polymorph energy (0 for the lowest one) (eV per formula unit): 0.13
DOS at the Fermi energy (states/eV/f.u.): 5.909
ρ (g/cm3): 9.51

Entry 7:
Density functional theory data (PBE-GGA) for crystalline TbHo2Th2 at its relaxed geometry.

abc: 14.2637 11.6904 8.5349
angles: 88.26 55.01 36.73
With the nearest neighbours (Å) after each atom.
Sites, in units of the cell vectors:
Tb 0.1250 0.1250 0.1250  4 Ho 3.32, 2 Tb 3.48, 4 Th 3.59
Tb 0.8750 0.8750 0.8750  4 Ho 3.32, 2 Tb 3.48, 4 Th 3.59
Ho 0.2056 0.5444 0.2056  4 Ho 3.21-3.48, 2 Th 3.26, 2 Tb 3.32
Ho 0.4556 0.7944 0.4556  4 Ho 3.21-3.48, 2 Th 3.26, 2 Tb 3.32
Ho 0.5444 0.2056 0.5444  4 Ho 3.21-3.48, 2 Th 3.26, 2 Tb 3.32
Ho 0.7944 0.4556 0.7944  4 Ho 3.21-3.48, 2 Th 3.26, 2 Tb 3.32
Th 0.0000 0.0000 0.0000  2 Ho 3.26, 2 Th 3.48, 2 Tb 3.59
Th 0.0000 0.0000 0.5000  2 Ho 3.26, 2 Th 3.48, 2 Tb 3.59
Th 0.0000 0.5000 0.0000  2 Ho 3.26, 2 Th 3.48, 2 Tb 3.59
Th 0.5000 0.0000 0.0000  2 Ho 3.26, 2 Th 3.48, 2 Tb 3.59

Summary:
E (eV/atom): -5.28
Crystal system: orthorhombic
Energy of formation (kcal/mol of atoms): 10.3
Polymorph energy (0 for the lowest one) (eV per formula unit): 2.07
DOS at the Fermi energy (states/eV/f.u.): 8.255
ρ (g/cm3): 9.41

Entry 8:
Density functional theory data (PBE-GGA) for crystalline TbHoThTl at its relaxed geometry.

abc: 5.4722 5.4722 5.4722
angles: 60.00 60.00 60.00
With the nearest neighbours (Å) after each atom.
Sites, in units of the cell vectors:
Tb 0.0000 0.0000 0.0000  4 Tl 3.35, 4 Th 3.35
Ho 0.5000 0.5000 0.5000  4 Tl 3.35, 4 Th 3.35
Th 0.2500 0.2500 0.2500  4 Ho 3.35, 4 Tb 3.35
Tl 0.7500 0.7500 0.7500  4 Ho 3.35, 4 Tb 3.35

Summary:
E (eV/atom): -4.68
Crystal system: cubic
Energy of formation (kcal/mol of atoms): 1.6
DOS at the Fermi energy (states/eV/f.u.): 8.510
ρ (g/cm3): 10.90

Entry 9:
Density functional theory data (PBE-GGA) for crystalline Tb2Ho6Tm3Th at its relaxed geometry.

abc: 6.1104 6.1104 11.6928
angles: 95.00 95.00 119.95
With the nearest neighbours (Å) after each atom.
Sites, in units of the cell vectors:
Tb 0.1667 0.8333 0.0000  3 Th 3.53, 3 Tb 3.53, 6 Ho 3.54
Tb 0.8333 0.1667 0.0000  3 Th 3.53, 3 Tb 3.53, 6 Ho 3.54
Ho 0.0855 0.4158 0.7488  6 Ho 3.50-3.55, 3 Tm 3.51-3.52, 1 Th 3.53, 2 Tb 3.54
Ho 0.2541 0.2541 0.2512  6 Ho 3.50-3.55, 3 Tm 3.51-3.53, 1 Th 3.52, 2 Tb 3.54
Ho 0.4158 0.0855 0.7488  6 Ho 3.50-3.55, 3 Tm 3.51-3.52, 1 Th 3.53, 2 Tb 3.54
Ho 0.5842 0.9145 0.2512  6 Ho 3.50-3.55, 3 Tm 3.51-3.52, 1 Th 3.53, 2 Tb 3.54
Ho 0.7459 0.7459 0.7488  6 Ho 3.50-3.55, 3 Tm 3.51-3.53, 1 Th 3.52, 2 Tb 3.54
Ho 0.9145 0.5842 0.2512  6 Ho 3.50-3.55, 3 Tm 3.51-3.52, 1 Th 3.53, 2 Tb 3.54
Tm 0.0000 0.0000 0.5000  6 Ho 3.51-3.53, 6 Tm 3.52-3.53
Tm 0.3328 0.6672 0.5000  6 Ho 3.51-3.52, 6 Tm 3.52-3.54
Tm 0.6672 0.3328 0.5000  6 Ho 3.51-3.52, 6 Tm 3.52-3.54
Th 0.5000 0.5000 0.0000  6 Ho 3.52-3.53, 6 Tb 3.53

Summary:
E (eV/atom): -4.77
Crystal system: monoclinic
Energy of formation (kcal/mol of atoms): 0.6
DOS at the Fermi energy (states/eV/f.u.): 16.103
ρ (g/cm3): 9.12

Entry 10:
Density functional theory data (PBE-GGA) for crystalline Tb3Ho2Tm6Th at its relaxed geometry.

abc: 6.1029 6.1029 11.6418
angles: 95.02 95.02 119.99
With the nearest neighbours (Å) after each atom.
Sites, in units of the cell vectors:
Tb 0.0000 0.0000 0.0000  6 Tm 3.52-3.54, 6 Tb 3.52-3.53
Tb 0.3327 0.6673 0.0000  6 Tb 3.52-3.54, 6 Tm 3.52-3.53
Tb 0.6673 0.3327 0.0000  6 Tb 3.52-3.54, 6 Tm 3.52-3.53
Ho 0.1668 0.8332 0.5000  6 Tm 3.51, 3 Th 3.52, 3 Ho 3.52-3.53
Ho 0.8332 0.1668 0.5000  6 Tm 3.51, 3 Th 3.52, 3 Ho 3.52-3.53
Tm 0.0862 0.4163 0.2509  6 Tm 3.49-3.54, 1 Th 3.49, 2 Ho 3.51, 3 Tb 3.52-3.53
Tm 0.2537 0.2537 0.7489  6 Tm 3.49-3.54, 1 Th 3.49, 2 Ho 3.51, 3 Tb 3.52-3.54
Tm 0.4163 0.0862 0.2509  6 Tm 3.49-3.54, 1 Th 3.49, 2 Ho 3.51, 3 Tb 3.52-3.53
Tm 0.5837 0.9138 0.7491  6 Tm 3.49-3.54, 1 Th 3.49, 2 Ho 3.51, 3 Tb 3.52-3.53
Tm 0.7463 0.7463 0.2511  6 Tm 3.49-3.54, 1 Th 3.49, 2 Ho 3.51, 3 Tb 3.52-3.54
Tm 0.9138 0.5837 0.7491  6 Tm 3.49-3.54, 1 Th 3.49, 2 Ho 3.51, 3 Tb 3.52-3.53
Th 0.5000 0.5000 0.5000  6 Tm 3.49, 6 Ho 3.52

Summary:
E (eV/atom): -4.75
Crystal system: monoclinic
Energy of formation (kcal/mol of atoms): 0.5
DOS at the Fermi energy (states/eV/f.u.): 15.506
ρ (g/cm3): 9.22

The lowest ρ belongs to which entry?
Tb3HoTh